No. 1
VASP calculation (PBE) on KNaCrCl6 after structural relaxation.

```
KNaCrCl6
1.0
6.839 0.000 0.000
-3.419 5.922 0.000
0.000 0.000 6.533
K Na Cr Cl
1 1 1 6
direct
0.000 0.000 0.000 K
0.667 0.333 0.500 Na
0.333 0.667 0.500 Cr
0.053 0.397 0.294 Cl
0.053 0.656 0.706 Cl
0.344 0.397 0.706 Cl
0.344 0.947 0.294 Cl
0.603 0.656 0.294 Cl
0.603 0.947 0.706 Cl
```

As for the magnetization: 2.00 μB/cell. For the energy relative to the elements, uncorrected, the calculation gives -1.31 eV per atom. Its space-group type is P312.

---

No. 2
VASP calculation (PBE) on La7Tb4Er after structural relaxation.

```
La7Tb4Er
1.0
8.207 -3.062 0.000
8.207 3.062 0.000
-4.528 0.000 8.484
La Tb Er
7 4 1
direct
0.000 0.000 0.000 La
0.278 0.278 0.750 La
0.291 0.291 0.108 La
0.412 0.412 0.546 La
0.588 0.588 0.454 La
0.709 0.709 0.892 La
0.722 0.722 0.250 La
0.066 0.066 0.703 Tb
0.169 0.169 0.363 Tb
0.831 0.831 0.637 Tb
0.934 0.934 0.297 Tb
0.500 0.500 0.000 Er
```

As for the magnetization: 0.01 μB/cell. Its space-group type is C2/m. The value obtained for the total energy is -4.58 eV/atom.

---

No. 3
VASP calculation (PBE) on SiTc2W after structural relaxation.

```
SiTc2W
1.0
4.304 -1.420 0.000
4.304 1.420 0.000
-0.612 0.000 4.776
Si Tc W
1 2 1
direct
0.000 0.000 0.000 Si
0.252 0.252 0.761 Tc
0.748 0.748 0.239 Tc
0.500 0.500 0.500 W
```

As for the magnetization: 0.00 μB/cell. For the energy relative to the elements, uncorrected, the calculation gives 0.00 eV per atom. Its space-group type is C2/m.

---

Let's list DOS(E_F) in order: 9.28; 21.00; 2.62 states/eV/f.u..